Entry 1:
Computed, not measured: a relaxed NaCo3P3H2O12 crystal at the GGA+U level of DFT.

POSCAR file:
```
NaCo3P3H2O12
1.0
5.889 -6.032 0.000
5.889 6.032 0.000
-2.637 0.000 5.931
Na Co P H O
2 6 6 4 24
Direct
0.027 0.973 0.750
0.973 0.027 0.250
0.046 0.374 0.623
0.283 0.717 0.250
0.374 0.046 0.123
0.626 0.954 0.877
0.717 0.283 0.750
0.954 0.626 0.377
0.107 0.328 0.110
0.318 0.682 0.750
0.328 0.107 0.610
0.672 0.893 0.390
0.682 0.318 0.250
0.893 0.672 0.890
0.384 0.384 0.193
0.384 0.384 0.693
0.616 0.616 0.307
0.616 0.616 0.807
0.019 0.673 0.114
0.035 0.393 0.307
0.152 0.154 0.598
0.154 0.152 0.098
0.209 0.722 0.537
0.270 0.449 0.155
0.278 0.791 0.963
0.286 0.497 0.736
0.327 0.981 0.386
0.393 0.035 0.807
0.449 0.270 0.655
0.497 0.286 0.236
0.503 0.714 0.764
0.551 0.730 0.345
0.607 0.965 0.193
0.673 0.019 0.614
0.714 0.503 0.264
0.722 0.209 0.037
0.730 0.551 0.845
0.791 0.278 0.463
0.846 0.848 0.902
0.848 0.846 0.402
0.965 0.607 0.693
0.981 0.327 0.886
```

Entry 2:
Computed, not measured: a relaxed Na2CoH8S2O12 crystal at the GGA+U level of DFT.

POSCAR file:
```
Na2CoH8S2O12
1.0
5.412 0.000 0.000
0.000 8.027 0.000
-1.834 0.000 10.709
Na Co H S O
4 2 16 4 24
Direct
0.122 0.080 0.362
0.122 0.420 0.862
0.878 0.580 0.138
0.878 0.920 0.638
0.000 0.000 0.000
0.000 0.500 0.500
0.220 0.647 0.342
0.220 0.853 0.842
0.235 0.716 0.012
0.235 0.784 0.512
0.238 0.051 0.817
0.238 0.449 0.317
0.331 0.700 0.640
0.331 0.800 0.140
0.669 0.200 0.860
0.669 0.300 0.360
0.762 0.551 0.683
0.762 0.949 0.183
0.765 0.216 0.488
0.765 0.284 0.988
0.780 0.147 0.158
0.780 0.353 0.658
0.383 0.210 0.637
0.383 0.290 0.137
0.617 0.710 0.863
0.617 0.790 0.363
0.122 0.541 0.333
0.122 0.959 0.833
0.175 0.718 0.579
0.175 0.782 0.079
0.211 0.081 0.578
0.211 0.419 0.078
0.331 0.126 0.074
0.331 0.374 0.574
0.351 0.666 0.871
0.351 0.834 0.371
0.367 0.225 0.773
0.367 0.275 0.273
0.633 0.725 0.727
0.633 0.775 0.227
0.649 0.166 0.629
0.649 0.334 0.129
0.669 0.626 0.426
0.669 0.874 0.926
0.789 0.581 0.922
0.789 0.919 0.422
0.825 0.218 0.921
0.825 0.282 0.421
0.878 0.041 0.167
0.878 0.459 0.667
```

Entry 3:
Computed, not measured: a relaxed Na6CoH4S4O18 crystal at the GGA+U level of DFT.

POSCAR file:
```
Na6CoH4S4O18
1.0
5.972 0.000 0.000
-1.738 6.498 0.000
-0.495 -3.568 9.313
Na Co H S O
6 1 4 4 18
Direct
0.044 0.456 0.170
0.391 0.200 0.962
0.439 0.814 0.605
0.561 0.186 0.395
0.609 0.800 0.038
0.956 0.544 0.830
0.000 0.000 0.500
0.013 0.251 0.364
0.083 0.395 0.535
0.917 0.605 0.465
0.987 0.749 0.636
0.124 0.941 0.174
0.447 0.405 0.701
0.553 0.595 0.299
0.876 0.059 0.826
0.016 0.280 0.924
0.016 0.901 0.817
0.035 0.730 0.540
0.177 0.931 0.321
0.265 0.522 0.698
0.336 0.161 0.626
0.352 0.015 0.127
0.361 0.518 0.374
0.458 0.551 0.149
0.542 0.449 0.851
0.639 0.482 0.626
0.648 0.985 0.873
0.664 0.839 0.374
0.735 0.478 0.302
0.823 0.069 0.679
0.965 0.270 0.460
0.984 0.099 0.183
0.984 0.720 0.076
```

no.,raw total energy (eV/cell),volume (Å³/atom),spin magnetization (μB per formula unit)
1,-272.61,10.03,9.0
2,-271.13,9.30,3.0
3,-184.38,10.95,3.0